1.
{"formula": "MgTlTc2", "functional": "PBE", "state": "relaxed", "lattice": [[1.6227, -2.3357, 0.0000], [1.6227, 2.3357, 0.0000], [0.0000, 0.0000, 9.2425]], "species": ["Mg", "Tl", "Tc", "Tc"], "fractional_positions": [[0.0000, 0.0000, 0.0000], [0.0000, 0.0000, 0.5000], [0.5000, 0.5000, 0.2439], [0.5000, 0.5000, 0.7561]], "crystal_system": "orthorhombic", "formation_enthalpy_0k_kj_per_mol_fu": 255.3, "magnetic_moment_mub_per_cell": 0.000, "rho_g_cm3": 10.1, "e_above_lowest_polymorph_kj_per_mol_atoms": 47.9, "dos_at_fermi_per_ev_cell": 3.67}

2.
{"formula": "HoCuIr", "functional": "PBE", "state": "relaxed", "lattice": [[-2.4822, 2.7727, 3.7414], [2.4822, -2.7727, 3.7414], [2.4822, 2.7727, -3.7414]], "species": ["Ho", "Ho", "Cu", "Cu", "Ir", "Ir"], "fractional_positions": [[0.3737, 0.1237, 0.2500], [0.6263, 0.8763, 0.7500], [0.0000, 0.0000, 0.5000], [0.0000, 0.5000, 0.0000], [0.0000, 0.5000, 0.5000], [0.5000, 0.5000, 0.0000]], "crystal_system": "orthorhombic", "formation_enthalpy_0k_kj_per_mol_fu": -172.8, "magnetic_moment_mub_per_cell": 0.000, "rho_g_cm3": 13.6, "e_above_lowest_polymorph_kj_per_mol_atoms": 0.0, "dos_at_fermi_per_ev_cell": 3.55}

3.
{"formula": "NaCaAg2F6", "functional": "PBE", "state": "relaxed", "lattice": [[5.6608, 0.0000, 0.0000], [0.0000, 6.0958, 0.0000], [-5.5280, 0.0000, 8.7960]], "species": ["Na", "Na", "Ca", "Ca", "Ag", "Ag", "Ag", "Ag", "F", "F", "F", "F", "F", "F", "F", "F", "F", "F", "F", "F"], "fractional_positions": [[0.0000, 0.0000, 0.0000], [0.0000, 0.5000, 0.5000], [0.5000, 0.0000, 0.5000], [0.5000, 0.5000, 0.0000], [0.2535, 0.0731, 0.7763], [0.2535, 0.4269, 0.2763], [0.7465, 0.5731, 0.7237], [0.7465, 0.9269, 0.2237], [0.1184, 0.2100, 0.4098], [0.1184, 0.2900, 0.9098], [0.2227, 0.7047, 0.4144], [0.2227, 0.7953, 0.9144], [0.4352, 0.1009, 0.2614], [0.4352, 0.3991, 0.7614], [0.5648, 0.6009, 0.2386], [0.5648, 0.8991, 0.7386], [0.7773, 0.2047, 0.0856], [0.7773, 0.2953, 0.5856], [0.8816, 0.7100, 0.0902], [0.8816, 0.7900, 0.5902]], "crystal_system": "monoclinic", "magnetic_moment_mub_per_cell": 1.121, "rho_g_cm3": 4.3, "dos_at_fermi_per_ev_cell": 8.38, "formation_energy_uncorrected_ev_per_atom": -2.23}

4.
{"formula": "PrSmGaHg", "functional": "PBE", "state": "relaxed", "lattice": [[3.6801, 0.0000, 0.0000], [0.0000, 3.6801, 0.0000], [0.0000, 0.0000, 7.8324]], "species": ["Pr", "Sm", "Ga", "Hg"], "fractional_positions": [[0.0000, 0.0000, 0.0000], [0.0000, 0.0000, 0.5301], [0.5000, 0.5000, 0.7588], [0.5000, 0.5000, 0.2773]], "crystal_system": "tetragonal", "formation_enthalpy_0k_kj_per_mol_fu": -199.7, "magnetic_moment_mub_per_cell": 0.000, "rho_g_cm3": 8.8, "e_above_lowest_polymorph_kj_per_mol_atoms": 0.0, "dos_at_fermi_per_ev_cell": 2.97}

5.
{"formula": "ZnSb2Pd", "functional": "PBE", "state": "relaxed", "lattice": [[1.6078, 0.9283, 10.2521], [-1.6078, 0.9283, 10.2521], [0.0000, -1.8566, 10.2521]], "species": ["Zn", "Sb", "Sb", "Pd"], "fractional_positions": [[0.0000, 0.0000, 0.0000], [0.0967, 0.0967, 0.0967], [0.9033, 0.9033, 0.9033], [0.5000, 0.5000, 0.5000]], "crystal_system": "trigonal", "magnetic_moment_mub_per_cell": 0.000, "rho_g_cm3": 7.5, "dos_at_fermi_per_ev_cell": 1.40, "formation_energy_uncorrected_ev_per_atom": 0.01}

6.
{"formula": "Al2PPt", "functional": "PBE", "state": "relaxed", "lattice": [[1.6323, 0.9424, 6.9034], [-1.6323, 0.9424, 6.9034], [0.0000, -1.8848, 6.9034]], "species": ["Al", "Al", "P", "Pt"], "fractional_positions": [[0.2465, 0.2465, 0.2465], [0.7535, 0.7535, 0.7535], [0.5000, 0.5000, 0.5000], [0.0000, 0.0000, 0.0000]], "crystal_system": "trigonal", "formation_enthalpy_0k_kj_per_mol_fu": -168.0, "magnetic_moment_mub_per_cell": 0.000, "rho_g_cm3": 7.3, "dos_at_fermi_per_ev_cell": 0.73}

Which formula does entry 5 have?
ZnSb2Pd

Copy entry 2 word for word.
{"formula": "HoCuIr", "functional": "PBE", "state": "relaxed", "lattice": [[-2.4822, 2.7727, 3.7414], [2.4822, -2.7727, 3.7414], [2.4822, 2.7727, -3.7414]], "species": ["Ho", "Ho", "Cu", "Cu", "Ir", "Ir"], "fractional_positions": [[0.3737, 0.1237, 0.2500], [0.6263, 0.8763, 0.7500], [0.0000, 0.0000, 0.5000], [0.0000, 0.5000, 0.0000], [0.0000, 0.5000, 0.5000], [0.5000, 0.5000, 0.0000]], "crystal_system": "orthorhombic", "formation_enthalpy_0k_kj_per_mol_fu": -172.8, "magnetic_moment_mub_per_cell": 0.000, "rho_g_cm3": 13.6, "e_above_lowest_polymorph_kj_per_mol_atoms": 0.0, "dos_at_fermi_per_ev_cell": 3.55}